DFT (PBE-GGA) results for a geometry-optimized Th4ZnSb structure.

Values from the calculation:
E = -74.2 eV for the cell shown
energy relative to the elements, uncorrected = -0.337 eV/atom
volume = 352 Å³ per cell
DOS at the Fermi energy = 6.157 states/eV/f.u.
size of the total moment = 0.00 μB per atom

```
Th4ZnSb
1.0
-3.8820 -4.1026 2.4660
5.3929 -5.2798 -0.2944
2.3086 1.9724 6.9156
Zn Th Sb
2 8 2
direct
0.7500 0.5000 0.5000
0.2500 0.5000 0.5000
0.5000 0.1636 0.3503
0.0000 0.6497 0.8364
0.0000 0.3503 0.1636
0.5000 0.8364 0.6497
0.5000 0.6497 0.1636
0.0000 0.1636 0.6497
0.0000 0.8364 0.3503
0.5000 0.3503 0.8364
0.7500 0.0000 0.0000
0.2500 0.0000 0.0000
```

---

DFT (PBE-GGA) results for a geometry-optimized Ca2In2Te structure.

Values from the calculation:
E = -30.2 eV for the cell shown
energy relative to the elements, uncorrected = -0.499 eV/atom
volume = 332 Å³ per cell
DOS at the Fermi energy = 4.472 states/eV/f.u.
size of the total moment = 0.00 μB per atom

```
Ca2In2Te
1.0
-2.9650 5.8488 4.8115
4.0306 -3.1559 6.3202
3.9592 2.8950 -1.0793
In Te Ca
4 2 4
direct
0.3693 0.1307 0.5000
0.8693 0.3693 0.5000
0.6307 0.8693 0.5000
0.1307 0.6307 0.5000
0.5000 0.5000 0.0000
0.0000 0.0000 0.0000
0.6692 0.1692 0.0000
0.1692 0.3308 0.0000
0.8308 0.6692 0.0000
0.3308 0.8308 0.0000
```

---

DFT (PBE-GGA) results for a geometry-optimized Mn4Ge2B structure.

Values from the calculation:
DFT formation energy = -0.1 eV/f.u.
E = -52.7 eV for the cell shown
volume = 93 Å³ per cell
DOS at the Fermi energy = 4.516 states/eV/f.u.
size of the total moment = 1.37 μB per atom

```
Mn4Ge2B
1.0
-3.4088 -1.3197 1.1908
1.5657 -1.0097 3.3629
-2.3034 4.5276 4.6293
Ge Mn B
2 4 1
direct
0.6362 0.6362 0.7275
0.3638 0.3638 0.2725
0.1670 0.1670 0.6659
0.0000 0.5000 0.0000
0.8330 0.8330 0.3341
0.5000 0.0000 0.0000
0.0000 0.0000 0.0000
```

---

DFT (PBE-GGA) results for a geometry-optimized Ga3PI structure.

Values from the calculation:
E = -15.3 eV for the cell shown
energy relative to the elements, uncorrected = 0.150 eV/atom
volume = 130 Å³ per cell
DOS at the Fermi energy = 2.283 states/eV/f.u.
size of the total moment = 0.00 μB per atom

```
Ga3PI
1.0
-2.4058 -3.9314 2.1060
1.4744 -2.9594 -3.8402
4.2092 -1.2104 2.5488
Ga P I
3 1 1
direct
0.0000 0.0000 0.5000
0.5000 0.0000 0.0000
0.0000 0.5000 0.0000
0.0000 0.0000 0.0000
0.5000 0.5000 0.5000
```

---

| no. | density (kg/m3) |
| --- | --- |
| 1 | 10536 |
| 2 | 4373 |
| 3 | 6690 |
| 4 | 4684 |